## GaFe2Pb (GGA-PBEsol)

Data for a geometry-optimized GaFe2Pb structure.

a b c (Å): 4.276 4.276 4.276
angles (deg): 60.00 60.00 60.00
Each line ends with the local moment (μB).
Fractional coordinates of all 4 atoms:
Fe 0.750 0.750 0.750  0.14
Ga 0.000 0.000 0.000  -0.01
Fe 0.250 0.250 0.250  0.14
Pb 0.500 0.500 0.500  -0.01

electronic total energy	-5.884	eV/atom
formation energy	0.43	eV per atom
crystal system	cubic
total magnetic moment	0.3	Bohr magnetons per cell
Fermi-level density of states	1.40	states/eV/atom